# 1
The following is a DFT calculation (PBE-GGA) of BeRe2P after structural relaxation.

ρ: 14.07 g/cm3
M_tot: 0.00 μB per formula unit
Relative energy among the computed polymorphs: 275 meV/atom
Density of states at the Fermi level: 0.700 states/eV/atom
E_form: 0 meV/atom

Unit cell a=4.0979 b=4.0979 c=4.0979 alpha=60.00 beta=60.00 gamma=60.00
Atoms (fractional coordinates):
1 Be 0.0000 0.0000 0.0000
2 P 0.5000 0.5000 0.5000
3 Re 0.2500 0.2500 0.2500
4 Re 0.7500 0.7500 0.7500

---

# 2
The following is a DFT calculation (PBE-GGA) of Tb12PmSc2 after structural relaxation.

ρ: 7.54 g/cm3
M_tot: 0.00 μB per formula unit
Density of states at the Fermi level: 1.598 states/eV/atom
E_form: 92 meV/atom

Unit cell a=6.6959 b=6.6959 c=23.3153 alpha=87.59 beta=92.41 gamma=64.93
Atoms (fractional coordinates):
1 Tb 0.4188 0.5811 0.6793
2 Pm 0.5001 0.9999 0.0000
3 Tb 0.4812 0.5187 0.9318
4 Tb 0.1997 0.8004 0.8044
5 Tb 0.6434 0.8566 0.5779
6 Sc 0.4281 0.0719 0.7138
7 Tb 0.9813 0.0188 0.9318
8 Tb 0.1383 0.8619 0.5580
9 Tb 0.5811 0.4189 0.3207
10 Tb 0.8004 0.1997 0.1956
11 Tb 0.9189 0.0811 0.6793
12 Tb 0.3003 0.6996 0.1956
13 Tb 0.6380 0.3616 0.5580
14 Sc 0.0719 0.4281 0.2862
15 Tb 0.7880 0.7120 0.1535
16 Tb 0.3569 0.1431 0.4221
17 Tb 0.2880 0.2120 0.1536
18 Tb 0.2120 0.2880 0.8464
19 Tb 0.0812 0.9189 0.3207
20 Tb 0.3617 0.6381 0.4420
21 Tb 0.5187 0.4812 0.0682
22 Tb 0.8566 0.6434 0.4221
23 Sc 0.9280 0.5720 0.7139
24 Tb 0.7120 0.7880 0.8465
25 Tb 0.8620 0.1384 0.4420
26 Tb 0.6996 0.3003 0.8044
27 Sc 0.5720 0.9280 0.2861
28 Tb 0.0188 0.9813 0.0682
29 Pm 0.9999 0.5001 0.0000
30 Tb 0.1431 0.3569 0.5779

---

- Which value of ρ does entry 2 give?
  7.54 g/cm3

---

What did the first record say?
The following is a DFT calculation (PBE-GGA) of BeRe2P after structural relaxation.

ρ: 14.07 g/cm3
M_tot: 0.00 μB per formula unit
Relative energy among the computed polymorphs: 275 meV/atom
Density of states at the Fermi level: 0.700 states/eV/atom
E_form: 0 meV/atom

Unit cell a=4.0979 b=4.0979 c=4.0979 alpha=60.00 beta=60.00 gamma=60.00
Atoms (fractional coordinates):
1 Be 0.0000 0.0000 0.0000
2 P 0.5000 0.5000 0.5000
3 Re 0.2500 0.2500 0.2500
4 Re 0.7500 0.7500 0.7500

---

- Which formula does entry 2 have?
  Tb12PmSc2